1.
Crystalline TaNb2Hg at its relaxed geometry. Source: OQMD, functional PBE.

The uncorrected energy comes out at -7.784 eV per atom. As for the energy of formation from the pure elements: 29.02 kJ/mol of atoms. For the magnetization, the calculation gives 0.001 μB per atom.

The space group is F-43m (No. 216) and the conventional cell measures 6.684, 6.684 and 6.684 Å, with angles of 90.00, 90.00 and 90.00 degrees. The distinct sites, in fractional coordinates, are Ta at (0.000, 0.000, 0.000), Nb at (0.000, 0.000, 0.500), Nb at (0.250, 0.250, 0.750) and Hg at (0.250, 0.250, 0.250).

=====

2.
Crystalline SmY2Sn3PdPt2 at its relaxed geometry. Source: OQMD, functional PBE.

The uncorrected energy comes out at -6.260 eV per atom. For the magnetization, the calculation gives 0.000 μB per atom.

The space group is Amm2 (No. 38) and the conventional cell measures 4.055, 13.104 and 7.542 Å, with angles of 90.00, 90.00 and 90.00 degrees. The distinct sites, in fractional coordinates, are Sm at (0.000, 0.000, 0.000), Y at (0.000, 0.205, 0.386), Sn at (0.500, 0.000, 0.333), Sn at (0.500, 0.128, 0.717), Pd at (0.000, 0.000, 0.587) and Pt at (0.500, 0.169, 0.090).

=====

3.
Crystalline NaLiNpTe3 at its relaxed geometry. Source: OQMD, functional PBE.

The uncorrected energy comes out at -5.036 eV per atom. For the magnetization, the calculation gives 0.504 μB per atom.

The space group is Cmcm (No. 63) and the conventional cell measures 4.422, 14.158 and 11.468 Å, with angles of 90.00, 90.00 and 90.00 degrees. The distinct sites, in fractional coordinates, are Na at (0.000, 0.241, 0.250), Li at (0.000, 0.476, 0.750), Np at (0.000, 0.000, 0.000), Te at (0.000, 0.085, 0.750) and Te at (0.000, 0.361, 0.562).

=====

4.
Crystalline Ho2TmSe3 at its relaxed geometry. Source: OQMD, functional PBE.

The uncorrected energy comes out at -5.713 eV per atom. For the magnetization, the calculation gives 0.000 μB per atom.

The space group is P-3m1 (No. 164) and the conventional cell measures 4.0267, 4.0267 and 9.9028 Å, with angles of 90.00, 90.00 and 120.00 degrees. The distinct sites, in fractional coordinates, are Ho at (0.3333, 0.6667, 0.1670), Tm at (0.0000, 0.0000, 0.5000), Se at (0.0000, 0.0000, 0.0000) and Se at (0.3333, 0.6667, 0.6633).

=====

5.
Crystalline TbSnAsO at its relaxed geometry. Source: OQMD, functional PBE.

The uncorrected energy comes out at -5.999 eV per atom. For the distance to the lowest polymorph of the same formula, the calculation gives 8.7 kJ/mol of formula units. For the magnetization, the calculation gives 0.001 μB per atom.

The space group is Pmc2_1 (No. 26) and the conventional cell measures 3.989, 8.719 and 6.011 Å, with angles of 90.00, 90.00 and 90.00 degrees. The distinct sites, in fractional coordinates, are Tb at (0.000, 0.159, 0.000), Sn at (0.500, 0.364, 0.612), As at (0.000, 0.172, 0.486) and O at (0.500, 0.247, 0.941).

=====

6.
Crystalline Nb2Br at its relaxed geometry. Source: OQMD, functional PBE.

The uncorrected energy comes out at -6.387 eV per atom. For the distance to the lowest polymorph of the same formula, the calculation gives 0.0 kJ/mol of formula units. For the magnetization, the calculation gives 0.005 μB per atom.

The space group is Fd-3m (No. 227, origin choice 2) and the conventional cell measures 7.930, 7.930 and 7.930 Å, with angles of 90.00, 90.00 and 90.00 degrees. The distinct sites, in fractional coordinates, are Nb at (0.000, 0.000, 0.000) and Br at (0.125, 0.125, 0.625).

=====

7.
Crystalline DyZn2Pt3 at its relaxed geometry. Source: OQMD, functional PBE.

The uncorrected energy comes out at -5.050 eV per atom. As for the energy of formation from the pure elements: -80.45 kJ/mol of atoms. For the magnetization, the calculation gives 0.000 μB per atom.

The space group is P6_3/mmc (No. 194) and the conventional cell measures 4.4046, 4.4046 and 12.2928 Å, with angles of 90.00, 90.00 and 120.00 degrees. The distinct sites, in fractional coordinates, are Dy at (0.0000, 0.0000, 0.2500), Zn at (0.3333, 0.6667, 0.0827), Pt at (0.0000, 0.0000, 0.0000) and Pt at (0.3333, 0.6667, 0.6304).

=====

8.
Crystalline TbAl2Hg at its relaxed geometry. Source: OQMD, functional PBE.

The uncorrected energy comes out at -3.455 eV per atom. For the distance to the lowest polymorph of the same formula, the calculation gives 0.0 kJ/mol of formula units. For the magnetization, the calculation gives 0.000 μB per atom.

The space group is Amm2 (No. 38) and the conventional cell measures 4.687, 6.354 and 11.389 Å, with angles of 90.00, 90.00 and 90.00 degrees. The distinct sites, in fractional coordinates, are Tb at (0.000, 0.000, 0.000), Tb at (0.500, 0.000, 0.350), Al at (0.000, 0.000, 0.526), Al at (0.500, 0.000, 0.813), Al at (0.500, 0.222, 0.597) and Hg at (0.000, 0.248, 0.749).

=====

9.
Crystalline Tb2Al5In at its relaxed geometry. Source: OQMD, functional PBE.

The uncorrected energy comes out at -4.232 eV per atom. For the magnetization, the calculation gives 0.000 μB per atom.

The space group is Amm2 (No. 38) and the conventional cell measures 4.683, 6.427 and 10.968 Å, with angles of 90.00, 90.00 and 90.00 degrees. The distinct sites, in fractional coordinates, are Tb at (0.000, 0.000, 0.000), Tb at (0.500, 0.000, 0.322), Al at (0.000, 0.000, 0.511), Al at (0.000, 0.221, 0.729), Al at (0.500, 0.218, 0.582) and In at (0.500, 0.000, 0.816).

=====

10.
Crystalline Sm3Cd3In2Ag at its relaxed geometry. Source: OQMD, functional PBE.

The uncorrected energy comes out at -3.187 eV per atom. For the magnetization, the calculation gives 0.009 μB per atom.

The space group is P-62m (No. 189) and the conventional cell measures 8.0111, 8.0111 and 4.0812 Å, with angles of 90.00, 90.00 and 120.00 degrees. The distinct sites, in fractional coordinates, are Sm at (0.0000, 0.6040, 0.0000), Cd at (0.0000, 0.2586, 0.5000), In at (0.3333, 0.6667, 0.5000) and Ag at (0.0000, 0.0000, 0.0000).

=====

11.
Crystalline ZnGa2CoCu4 at its relaxed geometry. Source: OQMD, functional PBE.

The uncorrected energy comes out at -3.673 eV per atom. For the distance to the lowest polymorph of the same formula, the calculation gives 0.0 kJ/mol of formula units. For the magnetization, the calculation gives 0.129 μB per atom.

The space group is P4/mmm (No. 123) and the conventional cell measures 4.117, 4.117 and 5.907 Å, with angles of 90.00, 90.00 and 90.00 degrees. The distinct sites, in fractional coordinates, are Zn at (0.000, 0.000, 0.000), Ga at (0.000, 0.000, 0.500), Ga at (0.500, 0.500, 0.000), Co at (0.500, 0.500, 0.500) and Cu at (0.000, 0.500, 0.252).

=====

12.
Crystalline TbAuSO at its relaxed geometry. Source: OQMD, functional PBE.

The uncorrected energy comes out at -6.098 eV per atom. For the distance to the lowest polymorph of the same formula, the calculation gives 43.2 kJ/mol of formula units. For the magnetization, the calculation gives 0.000 μB per atom.

The space group is P4bm (No. 100) and the conventional cell measures 5.520, 5.520 and 9.138 Å, with angles of 90.00, 90.00 and 90.00 degrees. The distinct sites, in fractional coordinates, are Tb at (0.000, 0.000, 0.000), Tb at (0.000, 0.500, 0.250), Au at (0.181, 0.319, 0.617), S at (0.000, 0.000, 0.415), S at (0.000, 0.500, 0.845) and O at (0.249, 0.251, 0.126).

=====

13.
Crystalline Cu4Ag at its relaxed geometry. Source: OQMD, functional PBE.

The uncorrected energy comes out at -3.477 eV per atom. As for the energy of formation from the pure elements: 5.93 kJ/mol of atoms. For the distance to the lowest polymorph of the same formula, the calculation gives 8.4 kJ/mol of formula units.

The space group is Pmmn (No. 59, origin choice 2) and the conventional cell measures 2.708, 3.495 and 13.833 Å, with angles of 90.00, 90.00 and 90.00 degrees. The distinct sites, in fractional coordinates, are Cu at (0.250, 0.250, 0.044), Cu at (0.250, 0.250, 0.270), Cu at (0.250, 0.250, 0.454), Cu at (0.250, 0.250, 0.639) and Ag at (0.250, 0.250, 0.842).

=====

14.
Crystalline TbHoPd6 at its relaxed geometry. Source: OQMD, functional PBE.

The uncorrected energy comes out at -5.928 eV per atom. As for the energy of formation from the pure elements: -86.46 kJ/mol of atoms. For the magnetization, the calculation gives 0.001 μB per atom.

The space group is P4/mmm (No. 123) and the conventional cell measures 4.110, 4.110 and 8.222 Å, with angles of 90.00, 90.00 and 90.00 degrees. The distinct sites, in fractional coordinates, are Tb at (0.000, 0.000, 0.000), Ho at (0.000, 0.000, 0.500), Pd at (0.000, 0.500, 0.252), Pd at (0.500, 0.500, 0.000) and Pd at (0.500, 0.500, 0.500).

=====

15.
Crystalline Lu2AlZn at its relaxed geometry. Source: OQMD, functional PBE.

The uncorrected energy comes out at -3.447 eV per atom. For the magnetization, the calculation gives 0.001 μB per atom.

The space group is F-43m (No. 216) and the conventional cell measures 7.070, 7.070 and 7.070 Å, with angles of 90.00, 90.00 and 90.00 degrees. The distinct sites, in fractional coordinates, are Lu at (0.000, 0.000, 0.000), Lu at (0.250, 0.250, 0.250), Al at (0.000, 0.000, 0.500) and Zn at (0.250, 0.250, 0.750).

=====

16.
Crystalline TmSiNi2P at its relaxed geometry. Source: OQMD, functional PBE.

The uncorrected energy comes out at -6.255 eV per atom. For the magnetization, the calculation gives 0.000 μB per atom.

The space group is I4mm (No. 107) and the conventional cell measures 3.868, 3.868 and 9.401 Å, with angles of 90.00, 90.00 and 90.00 degrees. The distinct sites, in fractional coordinates, are Tm at (0.000, 0.000, 0.000), Si at (0.000, 0.000, 0.377), Ni at (0.000, 0.500, 0.249) and P at (0.000, 0.000, 0.622).

=====

17.
Crystalline Hf4TeAsC2 at its relaxed geometry. Source: OQMD, functional PBE.

The uncorrected energy comes out at -9.168 eV per atom. For the magnetization, the calculation gives 0.000 μB per atom.

The space group is P-6m2 (No. 187) and the conventional cell measures 3.4671, 3.4671 and 12.8640 Å, with angles of 90.00, 90.00 and 120.00 degrees. The distinct sites, in fractional coordinates, are Hf at (0.0000, 0.0000, 0.1460), Hf at (0.6667, 0.3333, 0.3325), Te at (0.0000, 0.0000, 0.5000), As at (0.6667, 0.3333, 0.0000) and C at (0.3333, 0.6667, 0.2401).

=====

18.
Crystalline SrTaNO2 at its relaxed geometry. Source: OQMD, functional PBE.

The uncorrected energy comes out at -8.755 eV per atom. For the magnetization, the calculation gives 0.001 μB per atom.

The space group is P1 (No. 1) and the conventional cell measures 5.673, 5.683 and 5.690 Å, with angles of 119.52, 91.03 and 119.08 degrees. The distinct sites, in fractional coordinates, are Sr at (0.000, 0.000, 0.000), Sr at (0.497, 0.997, 0.502), Ta at (0.265, 0.511, 0.749), Ta at (0.734, 0.479, 0.249), N at (0.468, 0.496, 0.481), N at (0.486, 0.007, 0.988), O at (0.024, 0.013, 0.558), O at (0.047, 0.528, 0.065), O at (0.561, 0.560, 0.013) and O at (0.948, 0.462, 0.528).

=====

19.
Crystalline ScSnAuSe3 at its relaxed geometry. Source: OQMD, functional PBE.

The uncorrected energy comes out at -4.808 eV per atom. For the distance to the lowest polymorph of the same formula, the calculation gives 33.2 kJ/mol of formula units. For the magnetization, the calculation gives 0.000 μB per atom.

The space group is Pnma (No. 62) and the conventional cell measures 12.170, 3.951 and 12.750 Å, with angles of 90.00, 90.00 and 90.00 degrees. The distinct sites, in fractional coordinates, are Sc at (0.026, 0.250, 0.150), Sn at (0.167, 0.250, 0.566), Au at (0.203, 0.750, 0.391), Se at (0.020, 0.750, 0.301), Se at (0.099, 0.250, 0.944) and Se at (0.244, 0.250, 0.193).

=====

20.
Crystalline GdTaHg at its relaxed geometry. Source: OQMD, functional PBE.

The uncorrected energy comes out at -4.407 eV per atom. As for the energy of formation from the pure elements: 115.25 kJ/mol of atoms. For the magnetization, the calculation gives 0.853 μB per atom.

The space group is F-43m (No. 216) and the conventional cell measures 6.952, 6.952 and 6.952 Å, with angles of 90.00, 90.00 and 90.00 degrees. The distinct sites, in fractional coordinates, are Gd at (0.000, 0.000, 0.000), Ta at (0.250, 0.250, 0.250) and Hg at (0.250, 0.250, 0.750).

=====

Number 1: mass density 12.62 g cm⁻³. Number 2: mass density 9.78 g cm⁻³. Number 3: mass density 6.01 g cm⁻³. Number 4: mass density 8.79 g cm⁻³. Number 5: mass density 5.86 g cm⁻³. Number 6: mass density 7.08 g cm⁻³. Number 7: mass density 14.13 g cm⁻³. Number 8: mass density 8.10 g cm⁻³. Number 9: mass density 5.71 g cm⁻³. Number 10: mass density 8.24 g cm⁻³. Number 11: mass density 8.59 g cm⁻³. Number 12: mass density 9.64 g cm⁻³. Number 13: mass density 9.18 g cm⁻³. Number 14: mass density 11.51 g cm⁻³. Number 15: mass density 8.31 g cm⁻³. Number 16: mass density 8.16 g cm⁻³. Number 17: mass density 11.66 g cm⁻³. Number 18: mass density 7.96 g cm⁻³. Number 19: mass density 6.47 g cm⁻³. Number 20: mass density 10.65 g cm⁻³.